Entry 1:
Here is a relaxed structure of Y2BeSb from the Alexandria database. Energies are from PBE.

Geometry as extended XYZ:
```
4
Lattice="3.523 0.000 0.000 0.000 3.523 0.000 0.000 0.000 7.909" Properties=species:S:1:pos:R:3 pbc="T T T"
Y 0.000 0.000 0.000
Y 1.761 1.761 2.685
Be 0.000 0.000 4.645
Sb 1.761 1.761 5.748
```

Summary:
Symmetry = No. 99
E = -5.270 eV per atom
Spin magnetization = 0.00 μB per cell
Energy above the most stable polymorph in this dataset = 0.480 eV per atom
Calculated density = 5.220 g cm⁻³
Raw formation energy = -0.08 eV per atom

=====

Entry 2:
Here is a relaxed structure of Y2BeSb from the Alexandria database. Energies are from PBE.

Geometry as extended XYZ:
```
4
Lattice="2.010 1.160 7.221 -2.010 1.160 7.221 0.000 -2.321 7.221" Properties=species:S:1:pos:R:3 pbc="T T T"
Y 0.000 0.000 0.000
Y 0.000 0.000 4.398
Be 0.000 0.000 17.020
Sb 0.000 0.000 9.347
```

Summary:
Symmetry = No. 160
E = -5.517 eV per atom
Spin magnetization = 0.00 μB per cell
Energy above the most stable polymorph in this dataset = 0.232 eV per atom
Calculated density = 5.070 g cm⁻³
Raw formation energy = -0.32 eV per atom

=====

Entry 3:
Here is a relaxed structure of YBeSb from the Alexandria database. Energies are from PBE.

Geometry as extended XYZ:
```
3
Lattice="4.145 0.000 0.000 -2.073 3.590 0.000 0.000 0.000 4.159" Properties=species:S:1:pos:R:3 pbc="T T T"
Y 0.000 0.000 0.000
Be 2.073 1.197 1.917
Sb 0.000 2.393 2.106
```

Summary:
Symmetry = No. 156
E = -5.316 eV per atom
Spin magnetization = 0.00 μB per cell
Energy above the most stable polymorph in this dataset = 0.000 eV per atom
Calculated density = 5.894 g cm⁻³
Raw formation energy = -0.55 eV per atom